Record 1
The following is a PBE calculation of MgZn3O after structural relaxation, from Alexandria via LeMat-Bulk.

Unit cell a=4.316 b=4.316 c=4.316 alpha=90.00 beta=90.00 gamma=90.00
Sites, in units of the cell vectors:
Zn 0.000 0.500 0.000
Zn 0.000 0.000 0.500
Zn 0.500 0.000 0.000
Mg 0.500 0.500 0.500
O 0.000 0.000 0.000

V, Å³/atom: 16.08
DOS at the Fermi energy, states/eV per cell: 1.93
Offset from the most stable computed form, meV/atom: 0
ΔE_f (raw), meV/atom: -82

Record 2
The following is a PBE calculation of MgZn3O4 after structural relaxation, from Alexandria via LeMat-Bulk.

Unit cell a=6.214 b=6.214 c=5.687 alpha=62.76 beta=62.76 gamma=30.78
Sites, in units of the cell vectors:
Mg 0.748 0.748 0.583
Zn 0.250 0.250 0.085
Zn 0.501 0.501 0.169
Zn 0.001 0.001 0.664
O 0.938 0.938 0.395
O 0.441 0.441 0.892
O 0.191 0.191 0.478
O 0.691 0.691 0.974

V, Å³/atom: 12.37
ΔE_f (raw), meV/atom: -1739

Record 3
The following is a PBE calculation of Mg5ZnO6 after structural relaxation, from Alexandria via LeMat-Bulk.

Unit cell a=5.232 b=5.233 c=5.229 alpha=59.98 beta=80.33 gamma=70.38
Sites, in units of the cell vectors:
Mg 0.500 0.165 0.670
Mg 0.000 0.333 0.334
Mg 0.500 0.500 0.000
Mg 0.000 0.667 0.666
Mg 0.500 0.835 0.330
Zn 0.000 0.000 0.000
O 0.748 0.084 0.338
O 0.252 0.578 0.338
O 0.254 0.254 0.000
O 0.746 0.746 0.000
O 0.748 0.422 0.662
O 0.252 0.916 0.662

V, Å³/atom: 9.73
DOS at the Fermi energy, states/eV per cell: 0.00
ΔE_f (raw), meV/atom: -2475

Record 4
The following is a PBE calculation of MgZn6O6 after structural relaxation, from Alexandria via LeMat-Bulk.

Unit cell a=5.740 b=5.740 c=5.740 alpha=90.00 beta=90.00 gamma=90.00
Sites, in units of the cell vectors:
Mg 0.000 0.000 0.000
Zn 0.251 0.500 0.000
Zn 0.749 0.500 0.000
Zn 0.500 0.000 0.251
Zn 0.500 0.000 0.749
Zn 0.000 0.251 0.500
Zn 0.000 0.749 0.500
O 0.251 0.000 0.500
O 0.749 0.000 0.500
O 0.000 0.500 0.251
O 0.000 0.500 0.749
O 0.500 0.251 0.000
O 0.500 0.749 0.000

V, Å³/atom: 14.55
DOS at the Fermi energy, states/eV per cell: 0.28
ΔE_f (raw), meV/atom: -1163

Record 5
The following is a PBE calculation of MgZn3O4 after structural relaxation, from Alexandria via LeMat-Bulk.

Unit cell a=5.278 b=5.699 c=6.582 alpha=90.00 beta=90.00 gamma=90.00
Sites, in units of the cell vectors:
Mg 0.005 0.166 0.000
Mg 0.505 0.834 0.500
Zn 0.505 0.831 0.000
Zn 0.005 0.666 0.250
Zn 0.505 0.334 0.250
Zn 0.005 0.169 0.500
Zn 0.505 0.334 0.750
Zn 0.005 0.666 0.750
O 0.123 0.835 0.000
O 0.626 0.166 0.000
O 0.123 0.332 0.248
O 0.623 0.668 0.252
O 0.126 0.834 0.500
O 0.623 0.165 0.500
O 0.623 0.668 0.748
O 0.123 0.332 0.752

V, Å³/atom: 12.37
ΔE_f (raw), meV/atom: -1740

Record 6
The following is a PBE calculation of MgZn3O after structural relaxation, from Alexandria via LeMat-Bulk.

Unit cell a=5.057 b=5.057 c=5.057 alpha=90.00 beta=90.00 gamma=90.00
Sites, in units of the cell vectors:
Zn 0.000 0.500 0.000
Zn 0.000 0.000 0.500
Zn 0.500 0.000 0.000
Mg 0.000 0.000 0.000
O 0.500 0.500 0.500

V, Å³/atom: 25.86
DOS at the Fermi energy, states/eV per cell: 9.66
Offset from the most stable computed form, meV/atom: 1025
ΔE_f (raw), meV/atom: 943

Record 7
The following is a PBE calculation of MgZrO3 after structural relaxation, from Alexandria via LeMat-Bulk.

Unit cell a=3.707 b=3.707 c=3.707 alpha=90.00 beta=90.00 gamma=90.00
Sites, in units of the cell vectors:
Mg 0.000 0.000 0.000
O 0.000 0.500 0.000
O 0.000 0.000 0.500
O 0.500 0.000 0.000
Zr 0.500 0.500 0.500

V, Å³/atom: 10.18
DOS at the Fermi energy, states/eV per cell: 0.00
ΔE_f (raw), meV/atom: -2066

Record 8
The following is a PBE calculation of MgZrO3 after structural relaxation, from Alexandria via LeMat-Bulk.

Unit cell a=5.391 b=5.391 c=5.696 alpha=61.76 beta=61.76 gamma=60.00
Sites, in units of the cell vectors:
Mg 0.354 0.354 0.937
Mg 0.646 0.646 0.063
O 0.450 0.754 0.748
O 0.049 0.450 0.748
O 0.754 0.049 0.748
O 0.550 0.246 0.252
O 0.246 0.951 0.252
O 0.951 0.550 0.252
Zr 0.141 0.141 0.577
Zr 0.859 0.859 0.423

V, Å³/atom: 12.01
DOS at the Fermi energy, states/eV per cell: 0.00
ΔE_f (raw), meV/atom: -3039

Record 9
The following is a PBE calculation of MgZrO3 after structural relaxation, from Alexandria via LeMat-Bulk.

Unit cell a=5.713 b=5.349 c=5.348 alpha=120.01 beta=117.91 gamma=90.00
Sites, in units of the cell vectors:
Mg 0.899 0.300 0.099
Mg 0.399 0.800 0.099
Zr 0.036 0.012 0.523
Zr 0.536 0.512 0.523
O 0.717 0.605 0.008
O 0.717 0.904 0.612
O 0.717 0.208 0.313
O 0.217 0.105 0.313
O 0.217 0.404 0.008
O 0.217 0.708 0.612

V, Å³/atom: 11.91
DOS at the Fermi energy, states/eV per cell: 0.00
ΔE_f (raw), meV/atom: -3055

Record 10
The following is a PBE calculation of MgZrO3 after structural relaxation, from Alexandria via LeMat-Bulk.

Unit cell a=4.097 b=4.097 c=4.097 alpha=90.00 beta=90.00 gamma=90.00
Sites, in units of the cell vectors:
Mg 0.500 0.500 0.500
O 0.000 0.500 0.000
O 0.000 0.000 0.500
O 0.500 0.000 0.000
Zr 0.000 0.000 0.000

V, Å³/atom: 13.75
DOS at the Fermi energy, states/eV per cell: 0.00
ΔE_f (raw), meV/atom: -2419

Record 11
The following is a PBE calculation of Mg3ZrO after structural relaxation, from Alexandria via LeMat-Bulk.

Unit cell a=5.720 b=5.720 c=5.720 alpha=90.00 beta=90.00 gamma=90.00
Site moments in Bohr magnetons follow the coordinates.
Sites, in units of the cell vectors:
Mg 0.000 0.500 0.000  0.01
Mg 0.000 0.000 0.500  -0.01
Mg 0.500 0.000 0.000  0.04
O 0.500 0.500 0.500  0.21
Zr 0.000 0.000 0.000  0.89

V, Å³/atom: 37.43
DOS at the Fermi energy, states/eV per cell: 9.30
Offset from the most stable computed form, meV/atom: 2056
ΔE_f (raw), meV/atom: 1542

Record 12
The following is a PBE calculation of Mg3ZrO after structural relaxation, from Alexandria via LeMat-Bulk.

Unit cell a=4.472 b=4.472 c=4.472 alpha=90.00 beta=90.00 gamma=90.00
Site moments in Bohr magnetons follow the coordinates.
Sites, in units of the cell vectors:
Mg 0.000 0.500 0.000  0.03
Mg 0.000 0.000 0.500  0.02
Mg 0.500 0.000 0.000  0.01
O 0.000 0.000 0.000  0.17
Zr 0.500 0.500 0.500  0.75

V, Å³/atom: 17.89
DOS at the Fermi energy, states/eV per cell: 4.26
Offset from the most stable computed form, meV/atom: 0
ΔE_f (raw), meV/atom: -513

Record 13
The following is a PBE calculation of MgOs5 after structural relaxation, from Alexandria via LeMat-Bulk.

Unit cell a=4.769 b=4.769 c=4.426 alpha=90.00 beta=90.00 gamma=120.00
Sites, in units of the cell vectors:
Mg 0.000 0.000 0.500
Os 0.667 0.000 0.000
Os 0.333 0.333 0.000
Os 0.000 0.667 0.000
Os 0.667 0.333 0.500
Os 0.333 0.667 0.500

V, Å³/atom: 14.53
Energy of formation from the pure elements, eV/atom: 0.25
DOS at the Fermi energy, states/eV per cell: 6.96

Record 14
The following is a PBE calculation of Mg5Os3 after structural relaxation, from Alexandria via LeMat-Bulk.

Unit cell a=8.271 b=8.272 c=4.840 alpha=90.00 beta=90.00 gamma=120.03
Sites, in units of the cell vectors:
Mg 0.000 0.237 0.250
Mg 0.000 0.763 0.750
Mg 0.237 0.000 0.250
Mg 0.237 0.237 0.750
Mg 0.333 0.667 0.000
Mg 0.333 0.667 0.500
Mg 0.667 0.333 0.000
Mg 0.667 0.333 0.500
Mg 0.763 0.000 0.750
Mg 0.763 0.763 0.250
Os 0.000 0.438 0.750
Os 0.000 0.562 0.250
Os 0.438 0.000 0.750
Os 0.438 0.438 0.250
Os 0.562 0.000 0.250
Os 0.562 0.562 0.750

V, Å³/atom: 17.92
Energy of formation from the pure elements, eV/atom: 0.32
DOS at the Fermi energy, states/eV per cell: 8.07
Offset from the most stable computed form, meV/atom: 49

Record 15
The following is a PBE calculation of MgOs5 after structural relaxation, from Alexandria via LeMat-Bulk.

Unit cell a=5.126 b=5.126 c=5.126 alpha=60.00 beta=60.00 gamma=60.00
Sites, in units of the cell vectors:
Mg 0.000 0.000 0.000
Os 0.875 0.375 0.375
Os 0.750 0.750 0.750
Os 0.375 0.875 0.375
Os 0.375 0.375 0.375
Os 0.375 0.375 0.875

V, Å³/atom: 15.88
Energy of formation from the pure elements, eV/atom: 0.67
DOS at the Fermi energy, states/eV per cell: 7.02

Record 16
The following is a PBE calculation of Mg8Os after structural relaxation, from Alexandria via LeMat-Bulk.

Unit cell a=7.374 b=7.374 c=7.374 alpha=93.36 beta=93.36 gamma=151.97
Sites, in units of the cell vectors:
Mg 0.328 0.000 0.328
Mg 0.672 0.000 0.672
Mg 0.000 0.672 0.672
Mg 0.351 0.649 0.000
Mg 0.649 0.649 0.298
Mg 0.000 0.328 0.328
Mg 0.351 0.351 0.702
Mg 0.649 0.351 0.000
Os 0.000 0.000 0.000

V, Å³/atom: 20.31
Energy of formation from the pure elements, eV/atom: 0.07
DOS at the Fermi energy, states/eV per cell: 2.62

Record 17
The following is a PBE calculation of Mg5Os3 after structural relaxation, from Alexandria via LeMat-Bulk.

Unit cell a=5.802 b=5.802 c=3.987 alpha=90.00 beta=90.00 gamma=96.07
Sites, in units of the cell vectors:
Mg 0.000 0.000 0.000
Mg 0.500 0.000 0.000
Mg 0.000 0.500 0.000
Mg 0.757 0.243 0.500
Mg 0.243 0.757 0.500
Os 0.500 0.500 0.000
Os 0.721 0.721 0.500
Os 0.279 0.279 0.500

V, Å³/atom: 16.68
Energy of formation from the pure elements, eV/atom: 0.28
DOS at the Fermi energy, states/eV per cell: 7.79
Offset from the most stable computed form, meV/atom: 0

Record 18
The following is a PBE calculation of Mg3Os5 after structural relaxation, from Alexandria via LeMat-Bulk.

Unit cell a=7.161 b=7.161 c=8.159 alpha=95.42 beta=95.42 gamma=140.26
Sites, in units of the cell vectors:
Mg 0.189 0.312 0.500
Mg 0.281 0.220 0.000
Mg 0.308 0.808 0.097
Mg 0.693 0.193 0.904
Mg 0.720 0.781 0.000
Mg 0.812 0.689 0.500
Os 0.007 0.702 0.784
Os 0.254 0.056 0.317
Os 0.278 0.778 0.552
Os 0.202 0.507 0.784
Os 0.445 0.247 0.684
Os 0.556 0.754 0.317
Os 0.799 0.494 0.217
Os 0.723 0.223 0.449
Os 0.747 0.945 0.684
Os 0.994 0.299 0.217

V, Å³/atom: 16.06
Energy of formation from the pure elements, eV/atom: 0.43
DOS at the Fermi energy, states/eV per cell: 12.76

Record 19
The following is a PBE calculation of Mg5Os4 after structural relaxation, from Alexandria via LeMat-Bulk.

Unit cell a=7.210 b=7.210 c=7.210 alpha=92.42 beta=92.42 gamma=156.28
Sites, in units of the cell vectors:
Mg 0.000 0.000 0.000
Mg 0.333 0.333 0.666
Mg 0.333 0.667 0.000
Mg 0.667 0.333 0.000
Mg 0.667 0.667 0.334
Os 0.000 0.345 0.345
Os 0.000 0.655 0.655
Os 0.345 0.000 0.345
Os 0.655 0.000 0.655

V, Å³/atom: 16.39
Energy of formation from the pure elements, eV/atom: 0.31
DOS at the Fermi energy, states/eV per cell: 8.18

Record 20
The following is a PBE calculation of MgOs5 after structural relaxation, from Alexandria via LeMat-Bulk.

Unit cell a=7.296 b=7.296 c=4.407 alpha=90.00 beta=90.00 gamma=158.10
Sites, in units of the cell vectors:
Mg 0.887 0.113 0.500
Os 0.000 0.000 0.000
Os 0.668 0.332 0.000
Os 0.333 0.667 0.000
Os 0.560 0.440 0.500
Os 0.219 0.781 0.500

V, Å³/atom: 14.59
Energy of formation from the pure elements, eV/atom: 0.19
DOS at the Fermi energy, states/eV per cell: 6.34